Entry 1:
5
Lattice="-3.463 4.688 0.472 -3.772 -3.109 3.209 3.119 1.763 5.374" Properties=species:S:1:pos:R:3 comment="KTl2BiSe (meta-GGA SCAN, single point on PBEsol structure)" dos_ef_per_ev_atom=0.613 dft_energy_ev_per_atom=-50.22 rho_g_cm3=5.53 formation_energy_uncorrected_mev_per_atom=118 spacegroup="P4/mmm (123)" pbc="T T T"
Tl -1.731 2.344 0.236
Tl -1.886 -1.554 1.605
Bi 0.000 0.000 0.000
Se -2.058 1.671 4.528
K 1.560 0.881 2.687



Entry 2:
5
Lattice="-0.051 3.081 -2.897 2.072 -3.007 -3.235 -4.417 -1.459 -1.473" Properties=species:S:1:pos:R:3 comment="LiTeRh2Au (meta-GGA SCAN, single point on PBEsol structure)" dos_ef_per_ev_atom=0.882 dft_energy_ev_per_atom=-34.65 rho_g_cm3=8.86 formation_energy_uncorrected_mev_per_atom=615 spacegroup="P4/mmm (123)" pbc="T T T"
Li -0.026 1.541 -1.448
Rh 1.036 -1.504 -1.618
Te -1.198 -0.692 -3.803
Rh -2.208 -0.729 -0.737
Au 0.000 0.000 0.000



Entry 3:
4
Lattice="-3.205 -0.974 -0.198 0.076 -0.906 3.230 -2.372 7.375 2.124" Properties=species:S:1:pos:R:3 comment="Sb2PtBr (meta-GGA SCAN, single point on PBEsol structure)" dos_ef_per_ev_atom=0.351 dft_energy_ev_per_atom=-41.20 rho_g_cm3=9.52 formation_energy_uncorrected_mev_per_atom=-156 spacegroup="P4/mmm (123)" pbc="T T T"
Br -1.565 -0.940 1.516
Pt -2.751 2.748 2.578
Sb -1.668 5.187 1.494
Sb -0.704 2.188 0.630



Entry 4:
4
Lattice="-2.567 1.440 2.507 1.827 -1.790 2.899 2.578 3.240 -2.202" Properties=species:S:1:pos:R:3 comment="Mo2RuRh (meta-GGA SCAN, single point on PBEsol structure)" ef_ev_per_fu=-0.3 dos_ef_per_ev_atom=0.717 dft_energy_ev_per_atom=-34.67 rho_g_cm3=11.54 spacegroup="I4/mmm (139)" pbc="T T T"
Mo 2.018 0.637 1.700
Ru -0.370 -0.175 2.703
Mo -0.179 2.253 1.504
Rh 0.000 0.000 0.000